(1)
{"formula": "Y2RuRh2", "functional": "PBE", "state": "relaxed", "cell": [[-2.735, 2.735, 3.679], [2.735, -2.735, 3.679], [2.735, 2.735, -3.679]], "species": ["Y", "Y", "Ru", "Rh", "Rh"], "fractional_positions": [[0.750, 0.250, 0.500], [0.250, 0.750, 0.500], [0.000, 0.000, 0.000], [0.668, 0.668, 0.000], [0.332, 0.332, 0.000]], "delta_e_f_ev_per_atom": -0.070, "space_group": "No. 139", "vol_a3_per_atom": 22.02, "de_polymorph_ev_per_atom": 0.365}

---

(2)
{"formula": "TbTmAlNi", "functional": "PBE", "state": "relaxed", "cell": [[4.946, 0.000, 0.000], [2.473, 4.283, 0.000], [2.473, 1.428, 4.038]], "species": ["Ni", "Tm", "Tb", "Al"], "fractional_positions": [[0.250, 0.250, 0.250], [0.500, 0.500, 0.500], [0.000, 0.000, 0.000], [0.750, 0.750, 0.750]], "delta_e_f_ev_per_atom": -0.327, "space_group": "No. 216", "vol_a3_per_atom": 21.39}

---

(3)
{"formula": "TlGaPtSe", "functional": "PBE", "state": "relaxed", "cell": [[-3.721, 5.661, 0.154], [-0.986, -0.538, -4.044], [-4.012, -5.795, 1.749]], "species": ["Tl", "Tl", "Ga", "Ga", "Pt", "Pt", "Se", "Se"], "fractional_positions": [[0.877, 0.000, 0.127], [0.877, 0.500, 0.627], [0.540, 0.000, 0.682], [0.540, 0.500, 0.182], [0.442, 0.000, 0.316], [0.442, 0.500, 0.816], [0.251, 0.000, 0.918], [0.251, 0.500, 0.418]], "e_form_raw_mev_per_atom": -292.8, "space_group": "No. 160", "vol_a3_per_atom": 24.10, "de_polymorph_ev_per_atom": 0.021}

---

(4)
{"formula": "Sr2Li3HgF12", "functional": "PBE", "state": "relaxed", "cell": [[7.438, 0.546, 0.387], [4.148, 6.198, 0.387], [4.148, 2.414, 5.722]], "species": ["Sr", "Sr", "Li", "Li", "Li", "Hg", "F", "F", "F", "F", "F", "F", "F", "F", "F", "F", "F", "F"], "fractional_positions": [[0.607, 0.607, 0.607], [0.393, 0.393, 0.393], [0.500, 0.000, 0.000], [0.000, 0.500, 0.000], [0.000, 0.000, 0.500], [0.000, 0.000, 0.000], [0.279, 0.279, 0.832], [0.849, 0.849, 0.419], [0.419, 0.849, 0.849], [0.832, 0.279, 0.279], [0.849, 0.419, 0.849], [0.279, 0.832, 0.279], [0.721, 0.721, 0.168], [0.151, 0.151, 0.581], [0.581, 0.151, 0.151], [0.168, 0.721, 0.721], [0.151, 0.581, 0.151], [0.721, 0.168, 0.721]], "e_form_raw_mev_per_atom": -2391.8, "space_group": "No. 166", "vol_a3_per_atom": 13.26}